Computed, not measured: DyNpCrO6 after structural relaxation at the PBE with a Hubbard U level of DFT.

```
DyNpCrO6
1.0
5.574 0.000 0.000
-2.787 4.827 0.000
0.000 0.000 8.679
Dy Np Cr O
2 2 2 12
direct
0.333 0.667 0.250
0.667 0.333 0.750
0.333 0.667 0.750
0.667 0.333 0.250
0.000 0.000 0.000
0.000 0.000 0.500
0.028 0.337 0.624
0.028 0.691 0.876
0.309 0.337 0.876
0.309 0.972 0.624
0.337 0.028 0.124
0.337 0.309 0.376
0.663 0.691 0.624
0.663 0.972 0.876
0.691 0.028 0.376
0.691 0.663 0.124
0.972 0.309 0.124
0.972 0.663 0.376
```

Results
- DFT total energy: -8.6758 eV/atom
- Total magnetic moment: 4.00 μB/f.u.